A) Material: CsAsPdBr2
Method: DFT, PBE-GGA
State: optimized geometry

Structure (POSCAR):
```
CsAsPdBr2
1.0
-5.778 -1.706 -2.425
2.297 -5.933 -1.301
-1.767 -1.900 5.548
Cs As Br Pd
1 1 2 1
Cartesian
0.000 0.000 0.000
-0.884 -0.950 2.774
1.149 -2.967 -0.650
-2.889 -0.853 -1.212
-2.624 -4.770 0.911
```

B) Material: CsAsPdBr2
Method: DFT, PBE-GGA
State: optimized geometry

Structure (POSCAR):
```
CsAsPdBr2
1.0
5.733 0.000 0.000
0.000 5.733 0.000
0.000 0.000 4.736
Cs As Br Pd
1 1 2 1
Cartesian
2.866 2.866 2.368
0.000 0.000 2.368
0.000 2.866 0.000
2.866 0.000 0.000
0.000 0.000 0.000
```

Need the numbers? Relative energies in kJ/mol of atoms: A) 128.0; B) 0.0.

A) Material: CsAs2PtBr
Method: DFT, PBE-GGA
State: optimized geometry

Structure (POSCAR):
```
CsAs2PtBr
1.0
-0.094 -2.680 -5.521
-3.019 -4.787 2.375
-5.555 2.862 -1.294
Cs As Br Pt
1 2 1 1
Cartesian
0.000 0.000 0.000
-1.510 -2.393 1.188
-0.047 -1.340 -2.760
-2.778 1.431 -0.647
-4.334 -2.303 -2.220
```

B) Material: CsAs2PtBr
Method: DFT, PBE-GGA
State: optimized geometry

Structure (POSCAR):
```
CsAs2PtBr
1.0
-2.670 3.825 -1.093
-2.796 -2.741 -2.761
-5.428 -1.727 7.214
Cs As Br Pt
1 2 1 1
Cartesian
-5.447 -0.322 1.680
-1.398 -1.371 -1.380
-1.335 1.913 -0.547
-2.714 -0.864 3.607
0.000 0.000 0.000
```

Need the numbers? Relative energies in kJ/mol of atoms: A) 197.5; B) 0.0.

A) Material: CsRbAsBr2
Method: DFT, PBE-GGA
State: optimized geometry

Structure (POSCAR):
```
CsRbAsBr2
1.0
6.552 0.000 0.000
0.000 6.552 0.000
0.000 0.000 6.479
Cs As Br Rb
1 1 2 1
Cartesian
3.276 3.276 3.239
0.000 0.000 3.239
0.000 3.276 0.000
3.276 0.000 0.000
0.000 0.000 0.000
```

B) Material: CsRbAsBr2
Method: DFT, PBE-GGA
State: optimized geometry

Structure (POSCAR):
```
CsRbAsBr2
1.0
-6.116 2.327 1.803
-2.889 -5.544 -2.643
0.515 -2.862 5.441
Cs As Br Rb
1 1 2 1
Cartesian
0.000 0.000 0.000
0.258 -1.431 2.720
-1.445 -2.772 -1.321
-3.058 1.164 0.902
-4.245 -3.039 2.301
```

Need the numbers? Relative energies in kJ/mol of atoms: A) 0.0; B) 13.2.

A) Material: Cs2RbAsBr6
Method: DFT, PBE-GGA
State: optimized geometry

Structure (POSCAR):
```
Cs2RbAsBr6
1.0
8.395 0.000 0.000
4.198 7.271 0.000
4.198 2.424 6.855
Cs Rb As Br
2 1 1 6
Cartesian
12.593 7.271 5.141
4.198 2.424 1.714
8.395 4.847 3.427
0.000 0.000 0.000
8.395 2.178 1.540
6.084 3.512 5.315
8.395 7.517 5.315
6.084 6.182 1.540
10.707 3.512 5.315
10.707 6.182 1.540
```

B) Material: Cs2RbAsBr6
Method: DFT, PBE-GGA
State: optimized geometry

Structure (POSCAR):
```
Cs2RbAsBr6
1.0
-4.732 -1.953 6.438
6.682 0.958 5.203
-2.698 11.438 1.359
Cs Rb As Br
4 2 2 12
Cartesian
5.523 3.702 5.326
-0.710 8.083 7.265
-6.271 6.741 7.674
-0.038 2.360 5.735
-2.366 -0.977 3.219
1.992 6.198 3.281
-3.715 4.742 3.899
3.341 0.479 2.601
3.138 0.565 5.278
0.436 5.452 9.966
-3.886 9.878 7.722
-1.185 4.990 3.034
2.118 5.321 6.575
-1.409 10.091 10.620
-2.866 5.121 6.425
0.661 0.352 2.380
-1.526 1.200 8.934
2.627 8.346 8.836
0.777 9.243 4.066
-3.376 2.097 4.164
```

Need the numbers? Relative energies in kJ/mol of atoms: A) 1.6; B) 0.0.

A) Material: CsRb2AsBr6
Method: DFT, PBE-GGA
State: optimized geometry

Structure (POSCAR):
```
CsRb2AsBr6
1.0
8.143 0.000 -0.068
0.000 8.636 0.000
-0.029 0.000 11.682
Cs Rb As Br
2 4 2 12
Cartesian
4.071 0.000 -0.034
-0.014 4.318 5.841
0.231 7.958 2.896
4.288 4.996 8.703
7.883 0.678 8.717
3.826 3.640 2.911
4.057 0.000 5.807
0.000 4.318 0.000
2.160 5.748 0.679
6.217 7.206 6.486
5.954 2.888 10.935
1.897 1.430 5.128
2.839 6.383 4.951
6.896 6.570 10.757
5.275 2.252 6.663
1.218 2.065 0.856
7.102 4.741 2.374
3.016 8.213 8.250
1.012 3.895 9.240
5.098 0.423 3.364
```

B) Material: CsRb2AsBr6
Method: DFT, PBE-GGA
State: optimized geometry

Structure (POSCAR):
```
CsRb2AsBr6
1.0
8.534 0.000 0.000
4.267 7.391 0.000
4.267 2.464 6.968
Cs Rb As Br
1 2 1 6
Cartesian
8.534 4.927 3.484
12.801 7.391 5.226
4.267 2.464 1.742
0.000 0.000 0.000
8.534 2.176 1.538
6.151 3.551 5.429
8.534 7.678 5.429
6.151 6.303 1.538
10.917 3.551 5.429
10.917 6.303 1.538
```

Need the numbers? Relative energies in kJ/mol of atoms: A) 0.0; B) 6.0.

A) Material: CsAs2RhBr
Method: DFT, PBE-GGA
State: optimized geometry

Structure (POSCAR):
```
CsAs2RhBr
1.0
4.724 0.000 0.000
0.000 4.724 0.000
0.000 0.000 8.594
Cs As Rh Br
1 2 1 1
Cartesian
2.362 2.362 4.297
0.000 2.362 0.000
2.362 0.000 0.000
0.000 0.000 0.000
0.000 0.000 4.297
```

B) Material: CsAs2RhBr
Method: DFT, PBE-GGA
State: optimized geometry

Structure (POSCAR):
```
CsAs2RhBr
1.0
-3.825 4.118 -2.321
2.304 -0.982 -5.541
-4.393 -4.645 -1.003
Cs As Rh Br
1 2 1 1
Cartesian
0.000 0.000 0.000
1.152 -0.491 -2.770
-1.912 2.059 -1.160
-2.957 -0.754 -4.432
-2.196 -2.322 -0.502
```

Need the numbers? Relative energies in kJ/mol of atoms: A) 0.0; B) 194.2.

A) Material: CsAs2RuBr
Method: DFT, PBE-GGA
State: optimized geometry

Structure (POSCAR):
```
CsAs2RuBr
1.0
4.797 0.000 0.000
0.000 4.797 0.000
0.000 0.000 6.217
Cs Ru As Br
1 1 2 1
Cartesian
2.398 2.398 3.108
0.000 0.000 0.000
0.000 2.398 0.000
2.398 0.000 0.000
0.000 0.000 3.108
```

B) Material: CsAs2RuBr
Method: DFT, PBE-GGA
State: optimized geometry

Structure (POSCAR):
```
CsAs2RuBr
1.0
-3.157 -4.632 -1.977
5.035 -2.861 -1.338
0.096 -2.532 5.779
Cs Ru As Br
1 1 2 1
Cartesian
0.000 0.000 0.000
0.987 -5.013 1.232
2.518 -1.431 -0.669
-1.579 -2.316 -0.988
0.048 -1.266 2.890
```

Need the numbers? Relative energies in kJ/mol of atoms: A) 0.0; B) 208.5.

A) Material: CsAs2SBr
Method: DFT, PBE-GGA
State: optimized geometry

Structure (POSCAR):
```
CsAs2SBr
1.0
-4.658 -0.218 1.304
0.967 -3.817 2.818
1.604 5.291 6.616
Cs As S Br
1 2 1 1
Cartesian
-1.043 0.628 5.369
0.484 -1.909 1.409
-2.329 -0.109 0.652
0.000 0.000 0.000
0.802 2.645 3.308
```

B) Material: CsAs2SBr
Method: DFT, PBE-GGA
State: optimized geometry

Structure (POSCAR):
```
CsAs2SBr
1.0
6.211 0.000 0.000
0.000 6.211 0.000
0.000 0.000 6.259
Cs As S Br
1 2 1 1
Cartesian
0.000 0.000 0.000
0.000 3.105 0.000
3.105 0.000 0.000
3.105 3.105 3.130
0.000 0.000 3.130
```

Need the numbers? Relative energies in kJ/mol of atoms: A) 0.0; B) 145.9.

A) Material: CsSbAs2Br
Method: DFT, PBE-GGA
State: optimized geometry

Structure (POSCAR):
```
CsSbAs2Br
1.0
-4.963 3.780 0.029
-3.271 -4.270 -3.160
-1.912 -2.553 5.430
Cs Sb As Br
1 1 2 1
Cartesian
0.000 0.000 0.000
-5.073 -1.522 1.150
-1.635 -2.135 -1.580
-2.482 1.890 0.015
-0.956 -1.277 2.715
```

B) Material: CsSbAs2Br
Method: DFT, PBE-GGA
State: optimized geometry

Structure (POSCAR):
```
CsSbAs2Br
1.0
5.367 0.000 0.000
0.000 5.367 0.000
0.000 0.000 6.369
Cs Sb As Br
1 1 2 1
Cartesian
2.684 2.684 3.185
0.000 0.000 0.000
0.000 2.684 0.000
2.684 0.000 0.000
0.000 0.000 3.185
```

Need the numbers? Relative energies in kJ/mol of atoms: A) 123.5; B) 0.0.

A) Material: CsAsSeBr2
Method: DFT, PBE-GGA
State: optimized geometry

Structure (POSCAR):
```
CsAsSeBr2
1.0
5.683 0.000 0.000
0.000 5.683 0.000
0.000 0.000 5.032
Cs As Se Br
1 1 1 2
Cartesian
2.842 2.842 2.516
0.000 0.000 0.000
0.000 0.000 2.516
0.000 2.842 0.000
2.842 0.000 0.000
```

B) Material: CsAsSeBr2
Method: DFT, PBE-GGA
State: optimized geometry

Structure (POSCAR):
```
CsAsSeBr2
1.0
-3.150 4.420 3.524
-2.864 -4.726 3.368
4.452 0.073 3.888
Cs As Se Br
1 1 1 2
Cartesian
0.000 0.000 0.000
-0.781 -0.116 5.390
2.226 0.036 1.944
-1.432 -2.363 1.684
-1.575 2.210 1.762
```

Need the numbers? Relative energies in kJ/mol of atoms: A) 0.0; B) 144.0.

A) Material: CsSiAsBr2
Method: DFT, PBE-GGA
State: optimized geometry

Structure (POSCAR):
```
CsSiAsBr2
1.0
-3.288 4.550 0.613
-2.332 -1.006 -5.044
-3.521 -2.840 2.195
Cs As Si Br
1 1 1 2
Cartesian
-4.571 0.352 -1.118
-1.761 -1.420 1.097
0.000 0.000 0.000
-1.166 -0.503 -2.522
-1.644 2.275 0.306
```

B) Material: CsSiAsBr2
Method: DFT, PBE-GGA
State: optimized geometry

Structure (POSCAR):
```
CsSiAsBr2
1.0
-1.308 5.992 -2.451
-6.401 -1.572 -0.427
-0.902 2.127 5.681
Cs As Si Br
1 1 1 2
Cartesian
0.000 0.000 0.000
-0.451 1.063 2.840
-4.305 3.274 1.401
-3.200 -0.786 -0.214
-0.654 2.996 -1.225
```

Need the numbers? Relative energies in kJ/mol of atoms: A) 0.0; B) 126.9.

A) Material: CsSiAs2Br
Method: DFT, PBE-GGA
State: optimized geometry

Structure (POSCAR):
```
CsSiAs2Br
1.0
-3.975 -0.695 4.534
0.311 -6.026 -0.651
4.790 -0.203 4.169
Cs As Si Br
1 2 1 1
Cartesian
0.000 0.000 0.000
0.156 -3.013 -0.325
-1.987 -0.347 2.267
0.563 -3.462 4.026
2.395 -0.101 2.084
```

B) Material: CsSiAs2Br
Method: DFT, PBE-GGA
State: optimized geometry

Structure (POSCAR):
```
CsSiAs2Br
1.0
-2.103 -4.225 -1.084
2.691 -0.310 -4.013
4.931 -3.369 3.567
Cs As Si Br
1 2 1 1
Cartesian
2.760 -3.952 -0.765
1.346 -0.155 -2.007
-1.051 -2.112 -0.542
0.000 0.000 0.000
2.465 -1.684 1.784
```

Need the numbers? Relative energies in kJ/mol of atoms: A) 154.7; B) 0.0.

A) Material: CsSnAsBr2
Method: DFT, PBE-GGA
State: optimized geometry

Structure (POSCAR):
```
CsSnAsBr2
1.0
5.973 0.000 0.000
0.000 5.973 0.000
0.000 0.000 5.331
Cs As Sn Br
1 1 1 2
Cartesian
2.987 2.987 2.665
0.000 0.000 2.665
0.000 0.000 0.000
0.000 2.987 0.000
2.987 0.000 0.000
```

B) Material: CsSnAsBr2
Method: DFT, PBE-GGA
State: optimized geometry

Structure (POSCAR):
```
CsSnAsBr2
1.0
-4.463 -3.875 2.547
3.467 -5.136 -1.738
2.899 0.157 5.320
Cs As Sn Br
1 1 1 2
Cartesian
0.000 0.000 0.000
1.450 0.079 2.660
0.952 -4.427 3.064
1.734 -2.568 -0.869
-2.231 -1.937 1.273
```

Need the numbers? Relative energies in kJ/mol of atoms: A) 0.0; B) 99.5.